Density functional theory data (PBE) for an optimized crystal structure of Li4CaAg7.

Results
As for the energy of formation from the pure elements: -0.053 eV/atom.

abc: 10.930 5.247 9.805
angles: 90.00 122.13 90.00
Space group C2/m (No. 12)
Inequivalent atoms, fractional coordinates:
Li1 0.083 0.000 0.270
Li2 0.230 0.000 0.824
Ca1 0.000 0.500 0.500
Ag1 0.000 0.000 0.500
Ag2 0.048 0.500 0.876
Ag3 0.153 0.000 0.044
Ag4 0.221 0.500 0.411



Density functional theory data (PBE) for an optimized crystal structure of Li5Ca3Ag2.

Results
As for the energy of formation from the pure elements: -0.127 eV/atom.

abc: 10.619 10.619 4.396
angles: 90.00 90.00 90.00
Space group P4/mbm (No. 127)
Inequivalent atoms, fractional coordinates:
Li1 0.000 0.500 0.000
Li2 0.070 0.230 0.000
Ca1 0.000 0.000 0.500
Ca2 0.177 0.677 0.500
Ag1 0.114 0.386 0.500



Density functional theory data (PBE) for an optimized crystal structure of Li5Ca6Ag.

Results
As for the energy of formation from the pure elements: -0.042 eV/atom.

abc: 5.486 7.923 16.497
angles: 90.00 90.00 90.00
Space group Immm (No. 71)
Inequivalent atoms, fractional coordinates:
Li1 0.000 0.000 0.000
Li2 0.000 0.000 0.325
Li3 0.000 0.500 0.334
Ca1 0.000 0.236 0.500
Ca2 0.000 0.257 0.161
Ag1 0.000 0.500 0.000



Density functional theory data (PBE) for an optimized crystal structure of Li2Ca6Ag.

Results
The calculation puts the excess energy over the best structure of this formula in the dataset at 0.0 meV per atom. As for the energy of formation from the pure elements: -0.061 eV/atom.

abc: 5.420 13.484 16.312
angles: 90.00 90.00 90.00
Space group Fmmm (No. 69)
Inequivalent atoms, fractional coordinates:
Li1 0.000 0.000 0.173
Ca1 0.000 0.138 0.000
Ca2 0.000 0.146 0.339
Ag1 0.000 0.000 0.500



Density functional theory data (PBE) for an optimized crystal structure of LiCa2Ag2.

Results
The calculation puts the excess energy over the best structure of this formula in the dataset at 157.9 meV per atom. As for the energy of formation from the pure elements: -0.114 eV/atom.

abc: 8.620 8.620 3.599
angles: 90.00 90.00 90.00
Space group P4/mbm (No. 127)
Inequivalent atoms, fractional coordinates:
Li1 0.000 0.000 0.000
Ca1 0.159 0.341 0.000
Ag1 0.133 0.633 0.500



Density functional theory data (PBE) for an optimized crystal structure of Li9Ca3Ag2.

Results
As for the energy of formation from the pure elements: -0.066 eV/atom.

abc: 4.692 10.441 13.278
angles: 90.00 90.00 90.00
Space group Immm (No. 71)
Inequivalent atoms, fractional coordinates:
Li1 0.000 0.000 0.000
Li2 0.000 0.145 0.326
Li3 0.000 0.224 0.117
Ca1 0.000 0.500 0.000
Ca2 0.000 0.500 0.322
Ag1 0.000 0.285 0.500